(1)
Here is an optimized crystal structure of Ho6TmSc2 from the Alexandria database. Energies are from PBE.

Values from the calculation:
volume = 29.74 A^3/atom
distance to the lowest polymorph of the same formula = 59 meV per atom
energy = -4.82 eV per atom
formation enthalpy at 0 K = 0.136 eV/atom

a = 6.470 Å, b = 9.246 Å, c = 9.246 Å
α = 88.41°, β = 79.64°, γ = 79.64°
Fractional positions:
Ho 0.499 0.620 0.326
Ho 0.001 0.674 0.380
Ho 0.501 0.380 0.674
Ho 0.999 0.326 0.620
Ho 0.736 0.050 0.461
Ho 0.764 0.539 0.950
Ho 0.264 0.950 0.539
Ho 0.236 0.461 0.050
Ho 0.315 0.792 0.966
Ho 0.185 0.034 0.208
Ho 0.685 0.208 0.034
Ho 0.815 0.966 0.792
Tm 0.250 0.139 0.861
Tm 0.750 0.861 0.139
Sc 0.126 0.652 0.708
Sc 0.374 0.292 0.348
Sc 0.874 0.348 0.292
Sc 0.626 0.708 0.652

=====

(2)
Here is an optimized crystal structure of GePd from the Alexandria database. Energies are from PBE.

Values from the calculation:
volume = 20.93 A^3/atom
energy = -5.05 eV per atom
formation enthalpy at 0 K = -0.146 eV/atom

a = 10.612 Å, b = 14.815 Å, c = 4.261 Å
α = 90.00°, β = 90.00°, γ = 90.00°
Fractional positions:
Ge 0.683 0.000 0.000
Ge 0.317 0.000 0.000
Ge 0.567 0.750 0.250
Ge 0.933 0.750 0.250
Ge 0.683 0.500 0.500
Ge 0.317 0.500 0.500
Ge 0.567 0.250 0.750
Ge 0.933 0.250 0.750
Ge 0.183 0.000 0.500
Ge 0.817 0.000 0.500
Ge 0.067 0.750 0.750
Ge 0.433 0.750 0.750
Ge 0.183 0.500 0.000
Ge 0.817 0.500 0.000
Ge 0.067 0.250 0.250
Ge 0.433 0.250 0.250
Pd 0.000 0.398 0.000
Pd 0.000 0.602 0.000
Pd 0.250 0.352 0.250
Pd 0.250 0.148 0.250
Pd 0.000 0.898 0.500
Pd 0.000 0.102 0.500
Pd 0.250 0.852 0.750
Pd 0.250 0.648 0.750
Pd 0.500 0.398 0.500
Pd 0.500 0.602 0.500
Pd 0.750 0.352 0.750
Pd 0.750 0.148 0.750
Pd 0.500 0.898 0.000
Pd 0.500 0.102 0.000
Pd 0.750 0.852 0.250
Pd 0.750 0.648 0.250

=====

(3)
Here is an optimized crystal structure of Ac12ErSn7 from the Alexandria database. Energies are from PBE.

Values from the calculation:
volume = 43.96 A^3/atom
energy = -4.36 eV per atom
formation enthalpy at 0 K = -0.266 eV/atom

a = 10.220 Å, b = 10.220 Å, c = 10.220 Å
α = 107.39°, β = 107.39°, γ = 107.39°
Fractional positions:
Ac 0.920 0.311 0.768
Ac 0.689 0.232 0.080
Ac 0.476 0.148 0.388
Ac 0.852 0.612 0.524
Ac 0.232 0.080 0.689
Ac 0.612 0.524 0.852
Ac 0.388 0.476 0.148
Ac 0.768 0.920 0.311
Ac 0.148 0.388 0.476
Ac 0.524 0.852 0.612
Ac 0.311 0.768 0.920
Ac 0.080 0.689 0.232
Er 0.000 0.000 0.000
Sn 0.962 0.665 0.884
Sn 0.335 0.116 0.038
Sn 0.116 0.038 0.335
Sn 0.500 0.500 0.500
Sn 0.884 0.962 0.665
Sn 0.665 0.884 0.962
Sn 0.038 0.335 0.116

=====

(4)
Here is an optimized crystal structure of LaSb2W from the Alexandria database. Energies are from PBE.

Values from the calculation:
volume = 24.91 A^3/atom
formation energy from raw total energies = -0.1595 eV/atom
distance to the lowest polymorph of the same formula = 0 meV per atom
energy = -6.69 eV per atom

a = 5.845 Å, b = 5.845 Å, c = 5.845 Å
α = 47.58°, β = 47.58°, γ = 47.58°
Fractional positions:
La 0.750 0.750 0.750
Sb 0.971 0.971 0.971
Sb 0.529 0.529 0.529
W 0.250 0.250 0.250

=====

> Which value of volume does entry 2 give?

20.93 A^3/atom

=====

> Among the records above, which one has the lowest energy?

LaSb2W

=====

> Among the records above, which one has the lowest volume?

GePd